Record 1
The following is a DFT calculation (PBE) of Y2AlSb after structural relaxation.

a = 6.181 Å, b = 6.181 Å, c = 4.147 Å
α = 70.47°, β = 70.47°, γ = 43.71°
Fractional positions:
Y 0.254 0.254 0.247
Sb 0.735 0.735 0.765
Al 0.515 0.515 0.485
Y 0.996 0.996 0.003

Output
Raw formation energy (eV per formula unit): -2.50
Crystal system: monoclinic

***

Record 2
The following is a DFT calculation (PBE) of CeHo5Hg6 after structural relaxation.

a = 5.246 Å, b = 7.504 Å, c = 8.334 Å
α = 90.00°, β = 108.25°, γ = 90.00°
Site moments in Bohr magnetons follow the coordinates.
Fractional positions:
Hg 0.830 0.743 0.659  0.01
Ho 0.663 0.500 0.327  0.04
Ho 0.337 0.500 0.673  0.04
Ho 0.000 0.500 0.000  0.10
Hg 0.170 0.743 0.341  0.01
Ho 0.333 0.000 0.665  0.13
Ce 0.000 0.000 0.000  0.97
Hg 0.500 0.257 0.000  0.01
Hg 0.500 0.743 0.000  0.01
Hg 0.830 0.257 0.659  0.01
Hg 0.170 0.257 0.341  0.01
Ho 0.667 0.000 0.335  0.13

Output
Crystal system: monoclinic
Formation enthalpy at 0 K (eV per atom): -0.439

***

Record 3
The following is a DFT calculation (PBE) of Nb4Mo5W after structural relaxation.

a = 3.221 Å, b = 3.221 Å, c = 16.093 Å
α = 90.00°, β = 90.00°, γ = 90.00°
Fractional positions:
W 0.000 0.000 0.000
Nb 0.000 0.000 0.199
Nb 0.000 0.000 0.601
Mo 0.500 0.500 0.701
Mo 0.500 0.500 0.097
Mo 0.500 0.500 0.299
Mo 0.500 0.500 0.903
Mo 0.500 0.500 0.500
Nb 0.000 0.000 0.399
Nb 0.000 0.000 0.801

Output
Crystal system: tetragonal
Formation enthalpy at 0 K (eV per atom): -0.128

***

Record 4
The following is a DFT calculation (PBE) of Mg4ZrZn after structural relaxation.

a = 5.709 Å, b = 5.709 Å, c = 5.709 Å
α = 60.00°, β = 60.00°, γ = 60.00°
Site moments in Bohr magnetons follow the coordinates.
Fractional positions:
Mg 0.374 0.374 0.877  0.01
Mg 0.374 0.877 0.374  0.01
Zr 0.000 0.000 0.000  0.56
Mg 0.374 0.374 0.374  0.01
Zn 0.750 0.750 0.750  -0.01
Mg 0.877 0.374 0.374  0.01

Output
Crystal system: cubic
Formation enthalpy at 0 K (eV per atom): 0.285

***

Record 5
The following is a DFT calculation (PBE) of ZnNiIr after structural relaxation.

a = 6.786 Å, b = 6.543 Å, c = 2.659 Å
α = 83.68°, β = 73.40°, γ = 22.92°
Site moments in Bohr magnetons follow the coordinates.
Fractional positions:
Ni 0.331 0.331 0.669  0.06
Zn 0.672 0.672 0.328  0.00
Ir 0.997 0.997 0.003  0.02

Output
Crystal system: orthorhombic
Formation enthalpy at 0 K (eV per atom): 0.023

***

Record 6
The following is a DFT calculation (PBE) of NaNiHRh2 after structural relaxation.

a = 3.946 Å, b = 3.840 Å, c = 3.946 Å
α = 90.00°, β = 90.00°, γ = 90.00°
Fractional positions:
Na 0.500 0.500 0.500
Ni 0.000 0.500 0.000
H 0.000 0.000 0.000
Rh 0.000 0.000 0.500
Rh 0.500 0.000 0.000

Output
DFT total energy (eV per cell): -23.934
Crystal system: tetragonal